# 1
RbPmCuSe3 | Alexandria via LeMat-Bulk | PBE | relaxed; E_form (uncorrected) = -1.169 eV per atom; Fermi-level density of states = 9.24 states/eV/cell; density = 4.7 g/cm3; spin magnetization = 0.00 μB/atom
1.0
-1.637 0.542 -3.826
-6.272 -6.901 1.706
-3.945 8.603 2.907
Rb Pm Cu Se
2 2 2 6
Cartesian
-2.622 0.799 0.084
-9.232 1.446 0.703
-5.202 -3.261 0.613
-6.652 5.505 0.174
-3.343 4.767 0.955
-8.511 -2.522 -0.168
-7.348 -4.507 -0.947
-4.506 6.752 1.734
-7.395 -1.539 1.795
-4.459 3.784 -1.008
-4.780 -1.369 -1.601
-7.074 3.614 2.388

***

# 2
Rb2PmCu2Se4 | Alexandria via LeMat-Bulk | PBE | relaxed; E_form (uncorrected) = -1.049 eV per atom; Fermi-level density of states = 5.99 states/eV/cell; density = 5.1 g/cm3; spin magnetization = 0.00 μB/atom
1.0
-0.177 2.563 3.230
5.721 -4.504 3.887
3.612 4.171 -5.748
Rb Pm Cu Se
2 1 2 4
Cartesian
4.111 -1.057 1.064
5.046 3.287 0.305
0.000 0.000 0.000
6.826 -1.202 3.965
2.331 3.432 -2.596
2.390 1.471 -1.036
6.767 0.759 2.406
4.475 -1.906 4.395
4.681 4.136 -3.025

***

# 3
RbPm2Cu2Se4 | Alexandria via LeMat-Bulk | PBE | relaxed; E_form (uncorrected) = -1.107 eV per atom; Fermi-level density of states = 0.97 states/eV/cell; density = 5.3 g/cm3; spin magnetization = 0.00 μB/atom
1.0
3.903 0.000 0.000
0.000 9.173 -1.337
-1.951 -4.836 7.873
Rb Pm Cu Se
1 2 2 4
Cartesian
0.000 0.000 0.000
0.000 4.670 0.969
1.951 -0.333 5.567
1.951 7.049 1.657
0.000 -2.712 4.879
0.000 -0.591 3.369
1.951 4.929 3.167
1.951 6.334 -0.778
0.000 -1.997 7.314

***

# 4
Pm2CuRe | Alexandria via LeMat-Bulk | PBE | relaxed; Fermi-level density of states = 2.80 states/eV/cell; E above lowest polymorph = 0.0 meV/atom; density = 10.0 g/cm3; spin magnetization = 0.00 μB/atom
1.0
3.508 0.000 0.000
0.000 3.508 0.000
0.000 0.000 7.319
Re Cu Pm
1 1 2
Cartesian
1.754 1.754 0.000
1.754 1.754 3.660
0.000 0.000 5.593
0.000 0.000 1.727